A plane-wave DFT calculation with PBE-GGA was carried out for a relaxed structure of Nb2GaO.

Energy relative to the elements, uncorrected: -1.41 eV/f.u.
Distance to the lowest polymorph of the same formula: 0.000 eV/atom

Geometry as CIF:
```
data_Nb2GaO
_cell_length_a 5.009
_cell_length_b 5.009
_cell_length_c 6.878
_cell_angle_alpha 68.65
_cell_angle_beta 68.65
_cell_angle_gamma 90.00
_symmetry_space_group_name_H-M 'P 1'
_symmetry_Int_Tables_number 1
_symmetry_space_group_name_Hall 'P 1'
loop_
_atom_site_label
_atom_site_type_symbol
_atom_site_fract_x
_atom_site_fract_y
_atom_site_fract_z
Nb1 Nb 0.516 0.125 0.250
Nb2 Nb 0.234 0.625 0.250
Nb3 Nb 0.375 0.484 0.750
Nb4 Nb 0.875 0.766 0.750
O1 O 0.500 0.500 0.000
O2 O 0.250 0.750 0.500
Ga1 Ga 0.000 0.000 0.000
Ga2 Ga 0.750 0.250 0.500
```